# HfSnTe2Mo (PBE-GGA, optimized geometry)
# E_form (uncorrected)	767	meV per atom
# theoretical density	6.86	g/cm3
# magnetization	0.68	μB/atom
# E	-5.45	eV/atom
data_HfSnTe2Mo
_cell_length_a 5.5324
_cell_length_b 5.1302
_cell_length_c 5.5324
_cell_angle_alpha 90.00
_cell_angle_beta 90.00
_cell_angle_gamma 90.00
_symmetry_space_group_name_H-M 'P 1'
_symmetry_Int_Tables_number 1
loop_
_symmetry_equiv_pos_as_xyz
'x,y,z'
loop_
_atom_site_label
_atom_site_type_symbol
_atom_site_fract_x
_atom_site_fract_y
_atom_site_fract_z
Mo1 Mo 0.0000 0.5000 0.0000
Te1 Te 0.0000 0.0000 0.5000
Te2 Te 0.5000 0.0000 0.0000
Hf1 Hf 0.0000 0.0000 0.0000
Sn1 Sn 0.5000 0.5000 0.5000


# YHfSnMo2 (PBE-GGA, optimized geometry)
# theoretical density	7.93	g/cm3
# magnetization	0.00	μB/atom
# E	-6.49	eV/atom
# formation energy from the elements	1929	meV per atom
data_YHfSnMo2
_cell_length_a 4.8139
_cell_length_b 5.2216
_cell_length_c 4.8139
_cell_angle_alpha 90.00
_cell_angle_beta 90.00
_cell_angle_gamma 90.00
_symmetry_space_group_name_H-M 'P 1'
_symmetry_Int_Tables_number 1
loop_
_symmetry_equiv_pos_as_xyz
'x,y,z'
loop_
_atom_site_label
_atom_site_type_symbol
_atom_site_fract_x
_atom_site_fract_y
_atom_site_fract_z
Y1 Y 0.0000 0.0000 0.0000
Mo1 Mo 0.0000 0.0000 0.5000
Mo2 Mo 0.5000 0.0000 0.0000
Hf1 Hf 0.0000 0.5000 0.0000
Sn1 Sn 0.5000 0.5000 0.5000